1.
First-principles (PBEsol) data for a relaxed K crystal, as listed in the Alexandria database.

```
K
1.0
10.361 0.000 0.000
0.000 10.361 0.000
0.000 0.000 10.361
K
16
Cartesian
0.065 0.065 0.065 K
0.065 10.296 5.116 K
2.525 2.655 7.706 K
2.525 7.706 7.835 K
2.655 2.655 2.655 K
2.655 7.706 2.525 K
5.116 0.065 10.296 K
5.116 10.296 5.245 K
5.245 5.116 10.296 K
5.245 5.245 5.245 K
7.706 2.525 2.655 K
7.706 7.835 2.525 K
7.835 2.525 7.706 K
7.835 7.835 7.835 K
10.296 5.116 0.065 K
10.296 5.245 5.116 K
```

Space-group type   I-43d
ΔH_f (0 K)   0.000 eV/atom
Relative energy among the computed polymorphs   0.0002 eV/atom
E   -1.13 eV per atom

---

2.
First-principles (PBEsol) data for a relaxed K crystal, as listed in the Alexandria database.

```
K
1.0
4.439 0.000 0.000
0.000 16.113 0.000
0.000 0.000 16.176
K
16
Cartesian
0.555 4.115 2.022 K
0.555 7.969 10.110 K
0.555 12.171 10.110 K
0.555 16.026 2.022 K
1.665 0.087 6.066 K
1.665 3.941 14.154 K
1.665 8.143 14.154 K
1.665 11.998 6.066 K
2.774 4.115 10.110 K
2.774 7.969 2.022 K
2.774 12.171 2.022 K
2.774 16.026 10.110 K
3.884 0.087 14.154 K
3.884 3.941 6.066 K
3.884 8.143 6.066 K
3.884 11.998 14.154 K
```

Space-group type   Fddd
ΔH_f (0 K)   0.065 eV/atom
Relative energy among the computed polymorphs   0.0648 eV/atom
E   -1.07 eV per atom

---

3.
First-principles (PBEsol) data for a relaxed K crystal, as listed in the Alexandria database.

```
K
1.0
8.250 0.000 0.000
0.000 8.250 0.000
0.000 0.000 8.250
K
8
Cartesian
0.000 0.000 0.000 K
0.000 2.062 4.125 K
0.000 6.187 4.125 K
2.062 4.125 0.000 K
4.125 0.000 2.062 K
4.125 0.000 6.187 K
4.125 4.125 4.125 K
6.187 4.125 0.000 K
```

Space-group type   Pm-3n
ΔH_f (0 K)   0.012 eV/atom
Relative energy among the computed polymorphs   0.0122 eV/atom
E   -1.12 eV per atom

---

4.
First-principles (PBEsol) data for a relaxed K crystal, as listed in the Alexandria database.

```
K
1.0
4.618 0.000 0.000
-2.309 3.999 0.000
0.000 0.000 11.312
K
3
Cartesian
-1.556 2.696 1.885 K
0.752 1.303 5.656 K
3.113 0.000 9.426 K
```

Space-group type   P3_121
ΔH_f (0 K)   0.000 eV/atom
Relative energy among the computed polymorphs   0.0002 eV/atom
E   -1.13 eV per atom

---

5.
First-principles (PBEsol) data for a relaxed K crystal, as listed in the Alexandria database.

```
K
1.0
6.527 0.000 0.000
0.000 6.527 0.000
0.000 0.000 6.527
K
4
Cartesian
0.000 0.000 0.000 K
0.000 3.263 3.263 K
3.263 0.000 3.263 K
3.263 3.263 0.000 K
```

Space-group type   Fm-3m
ΔH_f (0 K)   0.000 eV/atom
Relative energy among the computed polymorphs   0.0002 eV/atom
E   -1.13 eV per atom

---

6.
First-principles (PBEsol) data for a relaxed K crystal, as listed in the Alexandria database.

```
K
1.0
4.676 0.000 0.000
0.000 7.588 0.000
0.000 0.000 15.989
K
8
Cartesian
0.000 0.000 2.102 K
0.000 0.000 13.886 K
0.000 3.794 5.892 K
0.000 3.794 10.097 K
2.338 0.000 5.892 K
2.338 0.000 10.097 K
2.338 3.794 2.102 K
2.338 3.794 13.886 K
```

Space-group type   Fmmm
ΔH_f (0 K)   0.033 eV/atom
Relative energy among the computed polymorphs   0.0334 eV/atom
E   -1.10 eV per atom

---

7.
First-principles (PBEsol) data for a relaxed K crystal, as listed in the Alexandria database.

```
K
1.0
-11.305 11.305 11.305
11.305 -11.305 11.305
11.305 11.305 -11.305
K
81
Cartesian
0.000 0.000 0.000 K
4.265 4.265 -4.265 K
7.040 7.040 -7.040 K
4.265 -4.265 4.265 K
7.040 -7.040 7.040 K
9.183 -3.720 4.266 K
13.426 -3.720 4.266 K
11.305 8.949 -7.706 K
11.305 0.000 2.077 K
3.599 0.000 2.356 K
19.011 0.000 2.356 K
6.986 2.700 0.000 K
15.624 2.700 0.000 K
11.305 7.527 -4.014 K
2.356 3.599 0.000 K
8.949 -7.706 11.305 K
7.291 0.000 3.778 K
15.318 0.000 3.778 K
11.305 -4.319 8.605 K
11.305 4.560 0.000 K
7.585 7.038 -2.122 K
15.024 7.038 -2.122 K
4.266 9.183 -3.720 K
7.038 -2.122 7.585 K
0.000 2.356 3.599 K
11.305 0.000 6.745 K
8.605 11.305 -4.319 K
2.700 0.000 6.986 K
3.778 7.291 0.000 K
7.527 -4.014 11.305 K
9.183 3.720 4.266 K
13.426 3.720 4.266 K
-4.265 4.265 4.265 K
4.265 4.265 4.265 K
7.585 7.038 2.122 K
15.024 7.038 2.122 K
11.305 9.228 0.000 K
0.000 6.986 2.700 K
4.266 13.426 -3.720 K
7.038 2.122 7.585 K
0.000 3.778 7.291 K
2.077 11.305 0.000 K
6.745 11.305 0.000 K
4.560 0.000 11.305 K
9.228 0.000 11.305 K
11.305 7.527 4.014 K
4.266 9.183 3.720 K
7.038 -2.122 15.024 K
11.305 4.319 8.605 K
0.000 2.077 11.305 K
-3.720 4.266 9.183 K
3.720 4.266 9.183 K
-7.040 7.040 7.040 K
7.040 7.040 7.040 K
-2.122 7.585 7.038 K
2.122 7.585 7.038 K
3.778 15.318 0.000 K
7.527 4.014 11.305 K
8.605 11.305 4.319 K
2.700 0.000 15.624 K
0.000 11.305 4.560 K
11.305 8.949 7.706 K
4.266 13.426 3.720 K
7.038 2.122 15.024 K
-3.720 4.266 13.426 K
3.720 4.266 13.426 K
0.000 6.745 11.305 K
0.000 15.624 2.700 K
-4.014 11.305 7.527 K
4.014 11.305 7.527 K
2.356 19.011 0.000 K
8.949 7.706 11.305 K
0.000 3.778 15.318 K
-4.319 8.605 11.305 K
4.319 8.605 11.305 K
-7.706 11.305 8.949 K
7.706 11.305 8.949 K
0.000 11.305 9.228 K
0.000 2.356 19.011 K
-2.122 15.024 7.038 K
2.122 15.024 7.038 K
```

Space-group type   Im-3
ΔH_f (0 K)   0.025 eV/atom
Relative energy among the computed polymorphs   0.0252 eV/atom
E   -1.11 eV per atom

---

8.
First-principles (PBEsol) data for a relaxed K crystal, as listed in the Alexandria database.

```
K
1.0
-7.984 7.984 7.984
7.984 -7.984 7.984
7.984 7.984 -7.984
K
29
Cartesian
0.000 0.000 0.000 K
5.089 5.089 -5.089 K
4.508 1.475 -1.475 K
4.508 -1.475 1.475 K
8.685 2.214 -2.214 K
5.089 -5.089 5.089 K
8.685 -2.214 2.214 K
11.459 1.475 1.475 K
1.475 4.508 -1.475 K
1.475 -1.475 4.508 K
7.283 2.214 2.214 K
5.770 5.770 -0.701 K
5.770 -0.701 5.770 K
2.895 2.895 2.895 K
-1.475 4.508 1.475 K
-1.475 1.475 4.508 K
2.214 8.685 -2.214 K
2.214 -2.214 8.685 K
2.214 7.283 2.214 K
2.214 2.214 7.283 K
6.509 6.509 3.476 K
6.509 3.476 6.509 K
-5.089 5.089 5.089 K
-2.214 8.685 2.214 K
-2.214 2.214 8.685 K
-0.701 5.770 5.770 K
1.475 11.459 1.475 K
1.475 1.475 11.459 K
3.476 6.509 6.509 K
```

Space-group type   I-43m
ΔH_f (0 K)   0.012 eV/atom
Relative energy among the computed polymorphs   0.0117 eV/atom
E   -1.12 eV per atom